1.
This record from the Alexandria database describes a geometry-optimized Sr2Al2As structure. The functional is PBE.

```
10
Lattice="7.441 0.000 0.000 0.000 7.441 0.000 0.000 0.000 5.031" Properties=species:S:1:pos:R:3 pbc="T T T"
Sr 1.300 2.420 0.000
Sr 2.420 6.141 0.000
Sr 5.021 1.300 0.000
Sr 6.141 5.021 0.000
Al 0.947 4.668 2.516
Al 2.773 0.947 2.516
Al 4.668 6.494 2.516
Al 6.494 2.773 2.516
As 0.000 0.000 2.516
As 3.721 3.721 2.516
```

Summary:
Symmetry: P4/mbm
E_form: -0.265 eV per atom
Density: 3.63 g/cm³
V: 27.86 A^3/atom

=====

2.
This record from the Alexandria database describes a geometry-optimized SrAlAs structure. The functional is PBE.

```
3
Lattice="4.141 0.000 0.000 -2.071 3.586 0.000 0.000 0.000 5.496" Properties=species:S:1:pos:R:3 pbc="T T T"
Sr 0.000 0.000 0.000
Al 2.071 1.195 2.383
As 0.000 2.391 3.416
```

Summary:
Symmetry: P3m1
E_form: -0.628 eV per atom
Density: 3.86 g/cm³
V: 27.21 A^3/atom

=====

3.
This record from the Alexandria database describes a geometry-optimized SrAlAs structure. The functional is PBE.

```
12
Lattice="7.154 0.000 0.000 0.000 7.154 0.000 0.000 0.000 7.154" Properties=species:S:1:pos:R:3 pbc="T T T"
Sr 0.000 0.000 0.000
Sr 0.000 3.577 3.577
Sr 3.577 0.000 3.577
Sr 3.577 3.577 0.000
Al 0.000 0.000 3.577
Al 0.000 3.577 0.000
Al 3.577 0.000 0.000
Al 3.577 3.577 3.577
As 1.789 1.789 1.789
As 1.789 5.366 5.366
As 5.366 1.789 5.366
As 5.366 5.366 1.789
```

Summary:
Symmetry: F-43m
E_form: -0.238 eV per atom
Density: 3.44 g/cm³
V: 30.51 A^3/atom

=====

4.
This record from the Alexandria database describes a geometry-optimized Sr3Al2As4 structure. The functional is PBE.

```
18
Lattice="7.231 0.000 0.000 0.000 16.268 0.000 0.000 0.000 4.254" Properties=species:S:1:pos:R:3 pbc="T T T"
Sr 0.000 0.000 0.000
Sr 1.387 4.823 2.127
Sr 2.228 12.957 0.000
Sr 3.616 8.134 2.127
Sr 5.003 3.311 0.000
Sr 5.844 11.444 2.127
Al 0.856 9.425 0.000
Al 2.760 1.291 2.127
Al 4.471 14.977 2.127
Al 6.375 6.843 0.000
As 1.631 7.048 0.000
As 1.693 10.686 2.127
As 1.923 2.552 0.000
As 1.985 15.181 2.127
As 5.246 1.086 2.127
As 5.308 13.715 0.000
As 5.538 5.582 2.127
As 5.601 9.220 0.000
```

Summary:
Symmetry: Pnnm
E_form: -0.954 eV per atom
Density: 4.09 g/cm³
Distance to the lowest polymorph of the same formula: 20 meV/atom
V: 27.80 A^3/atom

=====

5.
This record from the Alexandria database describes a geometry-optimized Sr2AlAs2 structure. The functional is PBE.

```
10
Lattice="7.670 0.000 0.000 0.000 7.670 0.000 0.000 0.000 4.562" Properties=species:S:1:pos:R:3 pbc="T T T"
Sr 1.375 2.460 0.000
Sr 2.460 6.295 0.000
Sr 5.210 1.375 0.000
Sr 6.295 5.210 0.000
Al 0.000 0.000 2.281
Al 3.835 3.835 2.281
As 0.913 4.748 2.281
As 2.922 0.913 2.281
As 4.748 6.757 2.281
As 6.757 2.922 2.281
```

Summary:
Symmetry: P4/mbm
E_form: -0.709 eV per atom
Density: 4.36 g/cm³
Distance to the lowest polymorph of the same formula: 138 meV/atom
V: 26.84 A^3/atom

=====

6.
This record from the Alexandria database describes a geometry-optimized SrAlAs structure. The functional is PBE.

```
12
Lattice="7.186 0.000 0.000 0.000 7.186 0.000 0.000 0.000 7.186" Properties=species:S:1:pos:R:3 pbc="T T T"
Sr 0.000 0.000 0.000
Sr 0.000 3.593 3.593
Sr 3.593 0.000 3.593
Sr 3.593 3.593 0.000
Al 1.796 1.796 1.796
Al 1.796 5.389 5.389
Al 5.389 1.796 5.389
Al 5.389 5.389 1.796
As 1.796 1.796 5.389
As 1.796 5.389 1.796
As 5.389 1.796 1.796
As 5.389 5.389 5.389
```

Summary:
Symmetry: F-43m
E_form: 0.005 eV per atom
Density: 3.39 g/cm³
V: 30.92 A^3/atom

=====

7.
This record from the Alexandria database describes a geometry-optimized Sr4U3AlAs8 structure. The functional is PBE.

```
16
Lattice="4.212 2.432 7.079 -4.212 2.432 7.079 0.000 -4.864 7.079" Properties=species:S:1:pos:R:3 pbc="T T T"
Sr 0.000 0.000 0.000
Sr -2.106 -1.216 7.079
Sr -2.106 1.216 14.159
Sr 0.000 2.432 7.079
U -4.212 0.000 10.619
U -2.106 1.216 3.540
U 2.106 1.216 3.540
Al 0.000 0.000 10.619
As 0.000 0.000 5.078
As -2.071 -1.195 12.101
As 0.000 -2.391 9.137
As -2.071 1.195 9.137
As 2.071 -1.195 12.101
As 0.000 2.391 12.101
As 2.071 1.195 9.137
As 0.000 0.000 16.160
```

Summary:
Symmetry: R-3m
E_form: -0.832 eV per atom
Density: 6.45 g/cm³
V: 27.20 A^3/atom

=====

8.
This record from the Alexandria database describes a geometry-optimized TaAlAs structure. The functional is PBE.

```
6
Lattice="0.000 4.499 4.364 2.494 0.000 4.364 2.494 4.499 0.000" Properties=species:S:1:pos:R:3 pbc="T T T"
Ta 0.000 0.000 0.000
Ta 1.247 2.249 2.182
Al 2.494 4.499 2.966
Al 3.741 6.748 5.148
As 2.494 4.499 5.693
As 3.741 6.748 7.875
```

Summary:
Symmetry: Fdd2
E_form: -0.316 eV per atom
Density: 9.59 g/cm³
V: 16.32 A^3/atom

=====

9.
This record from the Alexandria database describes a geometry-optimized TaAlAs2 structure. The functional is PBE.

```
16
Lattice="5.934 0.000 0.000 0.000 5.934 0.000 0.000 0.000 11.073" Properties=species:S:1:pos:R:3 pbc="T T T"
Ta 0.000 0.000 0.000
Ta 0.000 2.967 2.768
Ta 2.967 0.000 8.304
Ta 2.967 2.967 5.536
Al 0.000 0.000 5.536
Al 0.000 2.967 8.304
Al 2.967 0.000 2.768
Al 2.967 2.967 0.000
As 1.452 1.483 6.920
As 1.483 4.419 9.689
As 1.483 4.481 4.152
As 1.514 1.483 1.384
As 4.419 4.450 1.384
As 4.450 1.452 4.152
As 4.450 1.514 9.689
As 4.481 4.450 6.920
```

Summary:
Symmetry: I-42d
E_form: 0.131 eV per atom
Density: 6.10 g/cm³
V: 24.36 A^3/atom

=====

10.
This record from the Alexandria database describes a geometry-optimized TaAlAs structure. The functional is PBE.

```
3
Lattice="3.087 0.000 0.000 -1.544 2.674 0.000 0.000 0.000 6.374" Properties=species:S:1:pos:R:3 pbc="T T T"
Ta 0.000 0.000 0.000
Al 0.000 1.783 2.164
As 1.544 0.891 4.367
```

Summary:
Symmetry: P3m1
E_form: -0.085 eV per atom
Density: 8.93 g/cm³
V: 17.54 A^3/atom

=====

11.
This record from the Alexandria database describes a geometry-optimized TaAlAs structure. The functional is PBE.

```
12
Lattice="9.208 0.000 0.000 0.000 3.349 0.000 -2.655 0.000 6.443" Properties=species:S:1:pos:R:3 pbc="T T T"
Ta -0.656 0.000 1.795
Ta 2.604 1.674 4.648
Ta 3.948 1.674 1.795
Ta 7.208 0.000 4.648
Al 1.282 1.674 0.432
Al 0.666 0.000 6.011
Al 5.886 0.000 0.432
Al 5.270 1.674 6.011
As -0.042 1.674 3.914
As 1.991 0.000 2.529
As 4.561 0.000 3.914
As 6.594 1.674 2.529
```

Summary:
Symmetry: C2/m
E_form: -0.349 eV per atom
Density: 9.46 g/cm³
V: 16.55 A^3/atom